Computed, not measured: crystalline BaLiCo at its relaxed geometry at the GGA-PBE level of DFT.

Lattice parameters (Å, degrees): 4.9666 4.9666 4.9666 60.00 60.00 60.00
Closest atoms and distances in Å follow each position.
Fractional coordinates of all 3 atoms:
Ba  0.7500  0.7500  0.7500  4 Li 3.04, 4 Co 3.04
Li  0.5000  0.5000  0.5000  4 Ba 3.04
Co  0.0000  0.0000  0.0000  4 Ba 3.04

Output
symmetry	F-43m (216)
DFT total energy	-2.59	eV per atom
distance to the lowest polymorph of the same formula	0.836	eV per atom
formation enthalpy at 0 K	3.162	eV per formula unit